# 1
Computed, not measured: a geometry-optimized ScPbAuS3 structure at the PBE-GGA level of DFT.

The value obtained for the total magnetization is 0.01 Bohr magnetons per cell. As for the distance to the lowest polymorph of the same formula: 0 meV/atom.

a = 10.1165 Å, b = 3.9066 Å, c = 14.5344 Å
α = 90.00°, β = 90.00°, γ = 90.00°
Last column: nearest neighbours and their distance in Å.
Space group Pnma (No. 62)
Asymmetric unit:
Sc: 0.1583 0.2500 0.0249  6 S 2.57-2.71
Pb: 0.0085 0.7500 0.3005  3 S 2.78-2.89
Au: 0.2473 0.2500 0.3273  2 S 2.31-2.32
S: 0.0185 0.7500 0.1019  3 Sc 2.57-2.66
S: 0.1840 0.7500 0.6754  1 Au 2.31
S: 0.1849 0.2500 0.4810  1 Au 2.32, 2 Sc 2.60

***

# 2
Computed, not measured: a geometry-optimized ScPbAuSeS2 structure at the PBE-GGA level of DFT.

The total energy comes out at -5.09 eV/atom. The value obtained for the total magnetization is 0.01 Bohr magnetons per cell.

a = 3.9562 Å, b = 14.4689 Å, c = 10.3514 Å
α = 90.00°, β = 90.00°, γ = 90.00°
Last column: nearest neighbours and their distance in Å.
Space group Cmcm (No. 63)
Asymmetric unit:
Sc: 0.0000 0.0000 0.0000  4 S 2.65, 2 Se 2.69
Pb: 0.0000 0.3036 0.2500  2 Se 2.89, 2 S 3.05, 2 Au 3.11
Au: 0.0000 0.3620 0.7500  2 S 2.35
Se: 0.0000 0.0507 0.7500  2 Sc 2.69, 2 Pb 2.89
S: 0.0000 0.3797 0.5244  1 Au 2.35

***

# 3
Computed, not measured: a geometry-optimized SmPbAuSe2S structure at the PBE-GGA level of DFT.

The total energy comes out at -4.75 eV/atom. The value obtained for the total magnetization is 0.01 Bohr magnetons per cell.

a = 4.1383 Å, b = 13.8170 Å, c = 10.4939 Å
α = 90.00°, β = 90.00°, γ = 90.00°
Last column: nearest neighbours and their distance in Å.
Space group Cmcm (No. 63)
Asymmetric unit:
Sm: 0.0000 0.0000 0.0000  2 S 2.87, 4 Se 2.98
Pb: 0.0000 0.2498 0.2500  2 S 3.08, 4 Se 3.22
Au: 0.0000 0.4714 0.7500  2 S 2.60, 2 Se 2.62
Se: 0.0000 0.3512 0.5567  1 Au 2.62
S: 0.0000 0.0850 0.7500  2 Au 2.60, 2 Sm 2.87

***

# 4
Computed, not measured: a geometry-optimized TbPbAuSeS2 structure at the PBE-GGA level of DFT.

The total energy comes out at -4.85 eV/atom. The value obtained for the total magnetization is 0.01 Bohr magnetons per cell.

a = 4.0551 Å, b = 13.4334 Å, c = 10.8104 Å
α = 90.00°, β = 90.00°, γ = 90.00°
Last column: nearest neighbours and their distance in Å.
Space group Cmcm (No. 63)
Asymmetric unit:
Tb: 0.0000 0.0000 0.0000  4 S 2.78, 2 Se 2.96
Pb: 0.0000 0.2423 0.2500  2 Se 3.03, 2 Au 3.21, 4 S 3.30
Au: 0.0000 0.4427 0.7500  2 S 2.43
Se: 0.0000 0.0899 0.7500  2 Au 2.83, 2 Tb 2.96, 2 Pb 3.03
S: 0.0000 0.3636 0.5481  1 Au 2.43